Entry 1:
The following is a DFT calculation (GGA+U) of a relaxed CrReO4 crystal.

Lattice parameters (Å, degrees): 6.533 6.849 2.925 90.00 90.00 90.00
Sites, in units of the cell vectors:
Cr  0.000  0.000  0.000
Cr  0.500  0.500  0.000
Re  0.000  0.500  0.500
Re  0.500  0.000  0.500
O  0.000  0.296  0.000
O  0.000  0.704  0.000
O  0.208  0.000  0.500
O  0.292  0.500  0.500
O  0.500  0.204  0.000
O  0.500  0.796  0.000
O  0.708  0.500  0.500
O  0.792  0.000  0.500

Output
Fermi-level density of states: 0.498 states/eV per atom
SG: Cmmm (65)

Entry 2:
The following is a DFT calculation (GGA+U) of a relaxed CrReO2 crystal.

Lattice parameters (Å, degrees): 2.847 2.847 18.895 90.00 90.00 120.00
Sites, in units of the cell vectors:
Cr  0.000  0.000  0.000
Cr  0.333  0.667  0.667
Cr  0.667  0.333  0.333
Re  0.000  0.000  0.500
Re  0.333  0.667  0.167
Re  0.667  0.333  0.833
O  0.000  0.000  0.392
O  0.000  0.000  0.608
O  0.333  0.667  0.058
O  0.333  0.667  0.275
O  0.667  0.333  0.725
O  0.667  0.333  0.942

Output
Fermi-level density of states: 0.388 states/eV per atom
SG: R-3m (166)

Entry 3:
The following is a DFT calculation (GGA+U) of a relaxed Cr2ReRhO crystal.

Lattice parameters (Å, degrees): 5.058 5.058 3.662 90.00 90.00 90.00
Sites, in units of the cell vectors:
Cr  0.000  0.500  0.000
Cr  0.500  0.000  0.000
Re  0.000  0.000  0.000
Rh  0.500  0.500  0.500
O  0.000  0.000  0.500

Output
Fermi-level density of states: 0.986 states/eV per atom
SG: P4/mmm (123)

Entry 4:
The following is a DFT calculation (GGA+U) of a relaxed CrReSn2O crystal.

Lattice parameters (Å, degrees): 5.030 5.030 3.815 90.00 90.00 90.00
Sites, in units of the cell vectors:
Cr  0.000  0.000  0.000
Re  0.500  0.500  0.000
Sn  0.000  0.500  0.500
Sn  0.500  0.000  0.500
O  0.500  0.500  0.500

Output
Fermi-level density of states: 0.463 states/eV per atom
SG: P4/mmm (123)

Entry 5:
The following is a DFT calculation (GGA+U) of a relaxed SrCr2ReO8 crystal.

Lattice parameters (Å, degrees): 4.911 4.911 6.851 98.06 98.06 78.69
Sites, in units of the cell vectors:
Sr  0.000  0.000  0.000
Cr  0.453  0.453  0.778
Cr  0.547  0.547  0.222
Re  0.000  0.000  0.500
O  0.217  0.783  0.298
O  0.217  0.783  0.702
O  0.247  0.247  0.558
O  0.339  0.339  0.993
O  0.661  0.661  0.007
O  0.753  0.753  0.442
O  0.783  0.217  0.298
O  0.783  0.217  0.702

Output
Fermi-level density of states: 0.138 states/eV per atom
SG: C2/m (12)

Entry 6:
The following is a DFT calculation (GGA+U) of a relaxed TlCrReO6 crystal.

Lattice parameters (Å, degrees): 5.104 5.223 6.081 89.77 88.67 61.26
Sites, in units of the cell vectors:
Tl  0.000  0.000  0.000
Cr  0.340  0.314  0.471
Re  0.675  0.664  0.498
O  0.003  0.400  0.664
O  0.400  0.993  0.308
O  0.403  0.604  0.664
O  0.597  0.412  0.304
O  0.626  0.991  0.654
O  0.991  0.592  0.297

Output
SG: P1 (1)

Number 1: raw total energy -8.256 eV/atom. Number 2: raw total energy -8.603 eV/atom. Number 3: raw total energy -7.223 eV/atom. Number 4: raw total energy -6.349 eV/atom. Number 5: raw total energy -7.501 eV/atom. Number 6: raw total energy -7.189 eV/atom.